## DySnMo (GGA-PBE)

Data for a relaxed structure of DySnMo.

Unit cell a=3.3733 b=3.3733 c=43.4771 alpha=90.00 beta=90.00 gamma=120.00
Space group R-3m (No. 166, hexagonal axes)
Inequivalent atoms, fractional coordinates:
Dy (0.0000, 0.0000, 0.0927) (multiplicity 6)
Sn (0.0000, 0.0000, 0.3637) (multiplicity 6)
Mo (0.0000, 0.0000, 0.1855) (multiplicity 6)

Results
**Crystal system**: trigonal
**Calculated volume**: 71 Å³/f.u.
**DFT formation energy**: 0.139 eV per atom

=====

## ReHPd3 (GGA-PBE)

Data for a relaxed structure of ReHPd3.

Unit cell a=4.838 b=4.838 c=4.838 alpha=90.00 beta=90.00 gamma=90.00
Space group Pm-3m (No. 221)
Inequivalent atoms, fractional coordinates:
Re (0.000, 0.000, 0.000) (multiplicity 1)
H (0.500, 0.500, 0.500) (multiplicity 1)
Pd (0.000, 0.000, 0.500) (multiplicity 3)

Results
**E above lowest polymorph**: 6.78 eV per formula unit
**Crystal system**: cubic
**Calculated volume**: 113 Å³/f.u.

=====

## Rb2TbAlTe4 (GGA-PBE)

Data for a relaxed structure of Rb2TbAlTe4.

Unit cell a=9.049 b=9.496 c=13.235 alpha=90.00 beta=90.00 gamma=90.00
Space group Imma (No. 74)
Inequivalent atoms, fractional coordinates:
Rb (0.000, 0.000, 0.000) (multiplicity 4)
Rb (0.250, 0.250, 0.250) (multiplicity 4)
Tb (0.000, 0.000, 0.500) (multiplicity 4)
Al (0.250, 0.250, 0.750) (multiplicity 4)
Te (0.000, 0.051, 0.737) (multiplicity 8)
Te (0.224, 0.250, 0.524) (multiplicity 8)

Results
**Formation energy from raw total energies**: -87 kJ per mole of atoms
**Crystal system**: orthorhombic
**Calculated volume**: 284 Å³/f.u.

=====

## CaPaPb2 (GGA-PBE)

Data for a relaxed structure of CaPaPb2.

Unit cell a=3.494 b=3.494 c=9.253 alpha=90.00 beta=90.00 gamma=90.00
Space group P4/mmm (No. 123)
Inequivalent atoms, fractional coordinates:
Ca (0.000, 0.000, 0.000) (multiplicity 1)
Pa (0.000, 0.000, 0.500) (multiplicity 1)
Pb (0.500, 0.500, 0.251) (multiplicity 2)

Results
**E above lowest polymorph**: 0.00 eV per formula unit
**Crystal system**: tetragonal
**Calculated volume**: 113 Å³/f.u.
**DFT formation energy**: -0.176 eV per atom

=====

## PrZn6Co6 (GGA-PBE)

Data for a relaxed structure of PrZn6Co6.

Unit cell a=4.926 b=8.595 c=8.640 alpha=90.00 beta=90.00 gamma=90.00
Space group Immm (No. 71)
Inequivalent atoms, fractional coordinates:
Pr (0.000, 0.000, 0.000) (multiplicity 2)
Zn (0.000, 0.000, 0.342) (multiplicity 4)
Zn (0.000, 0.291, 0.500) (multiplicity 4)
Zn (0.000, 0.352, 0.000) (multiplicity 4)
Co (0.000, 0.500, 0.263) (multiplicity 4)
Co (0.250, 0.250, 0.250) (multiplicity 8)

Results
**Crystal system**: orthorhombic
**Calculated volume**: 183 Å³/f.u.
**DFT formation energy**: -0.095 eV per atom

=====

## Tb2Ho7Th (GGA-PBE)

Data for a relaxed structure of Tb2Ho7Th.

Unit cell a=8.632 b=17.235 c=5.155 alpha=90.00 beta=90.00 gamma=90.00
Space group Cmmm (No. 65)
Inequivalent atoms, fractional coordinates:
Tb (0.000, 0.201, 0.000) (multiplicity 4)
Ho (0.000, 0.000, 0.000) (multiplicity 2)
Ho (0.000, 0.305, 0.500) (multiplicity 4)
Ho (0.178, 0.393, 0.000) (multiplicity 8)
Th (0.000, 0.500, 0.500) (multiplicity 2)

Results
**Crystal system**: orthorhombic
**Calculated volume**: 383 Å³/f.u.
**DFT formation energy**: 0.724 eV per atom

=====

## Nd2Ga3Pd4Pb (GGA-PBE)

Data for a relaxed structure of Nd2Ga3Pd4Pb.

Unit cell a=4.343 b=4.343 c=10.927 alpha=90.00 beta=90.00 gamma=90.00
Space group P-4m2 (No. 115)
Inequivalent atoms, fractional coordinates:
Nd (0.000, 0.500, 0.240) (multiplicity 2)
Ga (0.000, 0.500, 0.880) (multiplicity 2)
Ga (0.500, 0.500, 0.500) (multiplicity 1)
Pd (0.000, 0.000, 0.000) (multiplicity 1)
Pd (0.000, 0.500, 0.655) (multiplicity 2)
Pd (0.500, 0.500, 0.000) (multiplicity 1)
Pb (0.000, 0.000, 0.500) (multiplicity 1)

Results
**Crystal system**: tetragonal
**Calculated volume**: 206 Å³/f.u.
**DFT formation energy**: -0.710 eV per atom

=====

## La2Si2I (GGA-PBE)

Data for a relaxed structure of La2Si2I.

Unit cell a=8.325 b=17.880 c=3.990 alpha=90.00 beta=90.00 gamma=90.00
Space group Imma (No. 74)
Inequivalent atoms, fractional coordinates:
La (0.250, 0.099, 0.250) (multiplicity 8)
Si (0.000, 0.038, 0.750) (multiplicity 8)
I (0.000, 0.250, 0.241) (multiplicity 4)

Results
**Formation energy from raw total energies**: -93 kJ per mole of atoms
**Crystal system**: orthorhombic
**Calculated volume**: 148 Å³/f.u.

=====

## Ba4NaGaI2 (GGA-PBE)

Data for a relaxed structure of Ba4NaGaI2.

Unit cell a=8.968 b=4.721 c=9.278 alpha=90.00 beta=105.91 gamma=90.00
Space group P2/m (No. 10)
Inequivalent atoms, fractional coordinates:
Ba (0.220, 0.000, 0.262) (multiplicity 2)
Ba (0.227, 0.500, 0.726) (multiplicity 2)
Na (0.500, 0.500, 0.500) (multiplicity 1)
Ga (0.000, 0.000, 0.500) (multiplicity 1)
I (0.000, 0.500, 0.000) (multiplicity 1)
I (0.500, 0.000, 0.000) (multiplicity 1)

Results
**Formation energy from raw total energies**: -68 kJ per mole of atoms
**Crystal system**: monoclinic
**Calculated volume**: 378 Å³/f.u.

=====

## Sc4CoSb (GGA-PBE)

Data for a relaxed structure of Sc4CoSb.

Unit cell a=14.371 b=5.469 c=7.056 alpha=90.00 beta=107.98 gamma=90.00
Space group C2/c (No. 15)
Inequivalent atoms, fractional coordinates:
Sc (0.083, 0.132, 0.451) (multiplicity 8)
Sc (0.188, 0.378, 0.148) (multiplicity 8)
Co (0.250, 0.250, 0.500) (multiplicity 4)
Sb (0.000, 0.363, 0.750) (multiplicity 4)

Results
**Formation energy from raw total energies**: -35 kJ per mole of atoms
**E above lowest polymorph**: 0.84 eV per formula unit
**Crystal system**: monoclinic
**Calculated volume**: 132 Å³/f.u.

=====

## Sm5ZnCu4 (GGA-PBE)

Data for a relaxed structure of Sm5ZnCu4.

Unit cell a=3.566 b=3.566 c=17.857 alpha=90.00 beta=90.00 gamma=90.00
Space group P4/mmm (No. 123)
Inequivalent atoms, fractional coordinates:
Sm (0.000, 0.000, 0.000) (multiplicity 1)
Sm (0.000, 0.000, 0.198) (multiplicity 2)
Sm (0.000, 0.000, 0.396) (multiplicity 2)
Zn (0.500, 0.500, 0.500) (multiplicity 1)
Cu (0.500, 0.500, 0.098) (multiplicity 2)
Cu (0.500, 0.500, 0.298) (multiplicity 2)

Results
**Crystal system**: tetragonal
**Calculated volume**: 227 Å³/f.u.
**DFT formation energy**: -0.209 eV per atom

=====

## Pm2Dy5Sc4 (GGA-PBE)

Data for a relaxed structure of Pm2Dy5Sc4.

Unit cell a=8.405 b=3.470 c=11.351 alpha=90.00 beta=97.48 gamma=90.00
Space group P2/m (No. 10)
Inequivalent atoms, fractional coordinates:
Pm (0.049, 0.000, 0.139) (multiplicity 2)
Dy (0.160, 0.000, 0.638) (multiplicity 2)
Dy (0.449, 0.000, 0.199) (multiplicity 2)
Dy (0.500, 0.000, 0.500) (multiplicity 1)
Sc (0.187, 0.500, 0.381) (multiplicity 2)
Sc (0.299, 0.500, 0.953) (multiplicity 2)

Results
**E above lowest polymorph**: 0.00 eV per formula unit
**Crystal system**: monoclinic
**Calculated volume**: 328 Å³/f.u.
**DFT formation energy**: 0.126 eV per atom

=====

## Na4Sm3ScO8 (GGA-PBE)

Data for a relaxed structure of Na4Sm3ScO8.

Unit cell a=6.9007 b=6.9007 c=16.7788 alpha=90.00 beta=90.00 gamma=120.00
Space group R-3m (No. 166, hexagonal axes)
Inequivalent atoms, fractional coordinates:
Na (0.0000, 0.0000, 0.0000) (multiplicity 3)
Na (0.0000, 0.5000, 0.0000) (multiplicity 9)
Sm (0.0000, 0.5000, 0.5000) (multiplicity 9)
Sc (0.0000, 0.0000, 0.5000) (multiplicity 3)
O (0.0000, 0.0000, 0.2391) (multiplicity 6)
O (0.0183, 0.5092, 0.2365) (multiplicity 18)

Results
**Formation energy from raw total energies**: -259 kJ per mole of atoms
**Crystal system**: trigonal
**Calculated volume**: 231 Å³/f.u.

=====

## ZnMo2Se (GGA-PBE)

Data for a relaxed structure of ZnMo2Se.

Unit cell a=3.823 b=3.823 c=4.459 alpha=90.00 beta=90.00 gamma=90.00
Space group P4/mmm (No. 123)
Inequivalent atoms, fractional coordinates:
Zn (0.000, 0.000, 0.000) (multiplicity 1)
Mo (0.000, 0.500, 0.500) (multiplicity 2)
Se (0.500, 0.500, 0.000) (multiplicity 1)

Results
**Formation energy from raw total energies**: 50 kJ per mole of atoms
**E above lowest polymorph**: 1.65 eV per formula unit
**Crystal system**: tetragonal
**Calculated volume**: 65 Å³/f.u.

=====

## Ac4Ni3Pd (GGA-PBE)

Data for a relaxed structure of Ac4Ni3Pd.

Unit cell a=4.075 b=4.537 c=11.426 alpha=90.00 beta=90.00 gamma=90.00
Space group Pmm2 (No. 25)
Inequivalent atoms, fractional coordinates:
Ac (0.000, 0.000, 0.000) (multiplicity 1)
Ac (0.000, 0.500, 0.262) (multiplicity 1)
Ac (0.500, 0.000, 0.488) (multiplicity 1)
Ac (0.500, 0.500, 0.763) (multiplicity 1)
Ni (0.000, 0.500, 0.545) (multiplicity 1)
Ni (0.500, 0.000, 0.201) (multiplicity 1)
Ni (0.500, 0.500, 0.057) (multiplicity 1)
Pd (0.000, 0.000, 0.706) (multiplicity 1)

Results
**Crystal system**: orthorhombic
**Calculated volume**: 211 Å³/f.u.
**DFT formation energy**: -0.381 eV per atom

=====

## HgS2Cl (GGA-PBE)

Data for a relaxed structure of HgS2Cl.

Unit cell a=4.0254 b=4.0254 c=22.0128 alpha=90.00 beta=90.00 gamma=120.00
Space group R-3m (No. 166, hexagonal axes)
Inequivalent atoms, fractional coordinates:
Hg (0.0000, 0.0000, 0.0000) (multiplicity 3)
S (0.0000, 0.0000, 0.3949) (multiplicity 6)
Cl (0.0000, 0.0000, 0.5000) (multiplicity 3)

Results
**Formation energy from raw total energies**: 22 kJ per mole of atoms
**E above lowest polymorph**: 1.24 eV per formula unit
**Crystal system**: trigonal
**Calculated volume**: 103 Å³/f.u.

=====

## TlSiPb2 (GGA-PBE)

Data for a relaxed structure of TlSiPb2.

Unit cell a=4.866 b=4.866 c=4.679 alpha=90.00 beta=90.00 gamma=90.00
Space group P4/mmm (No. 123)
Inequivalent atoms, fractional coordinates:
Tl (0.000, 0.000, 0.000) (multiplicity 1)
Si (0.500, 0.500, 0.000) (multiplicity 1)
Pb (0.000, 0.500, 0.500) (multiplicity 2)

Results
**Formation energy from raw total energies**: 33 kJ per mole of atoms
**Crystal system**: tetragonal
**Calculated volume**: 111 Å³/f.u.

=====

## Nd2Sm5Tm5 (GGA-PBE)

Data for a relaxed structure of Nd2Sm5Tm5.

Unit cell a=15.183 b=5.053 c=11.321 alpha=90.00 beta=116.56 gamma=90.00
Space group C2/m (No. 12)
Inequivalent atoms, fractional coordinates:
Nd (0.083, 0.000, 0.248) (multiplicity 4)
Sm (0.000, 0.500, 0.000) (multiplicity 2)
Sm (0.086, 0.500, 0.751) (multiplicity 4)
Sm (0.166, 0.500, 0.499) (multiplicity 4)
Tm (0.000, 0.000, 0.500) (multiplicity 2)
Tm (0.169, 0.000, 0.001) (multiplicity 4)
Tm (0.249, 0.000, 0.751) (multiplicity 4)

Results
**Crystal system**: monoclinic
**Calculated volume**: 388 Å³/f.u.
**DFT formation energy**: 0.021 eV per atom

=====

## RbNaAuBr (GGA-PBE)

Data for a relaxed structure of RbNaAuBr.

Unit cell a=7.982 b=7.982 c=7.982 alpha=90.00 beta=90.00 gamma=90.00
Space group F-43m (No. 216)
Inequivalent atoms, fractional coordinates:
Rb (0.000, 0.000, 0.000) (multiplicity 4)
Na (0.000, 0.000, 0.500) (multiplicity 4)
Au (0.250, 0.250, 0.250) (multiplicity 4)
Br (0.250, 0.250, 0.750) (multiplicity 4)

Results
**Formation energy from raw total energies**: -77 kJ per mole of atoms
**Crystal system**: cubic
**Calculated volume**: 127 Å³/f.u.

=====

## PuTaRu2 (GGA-PBE)

Data for a relaxed structure of PuTaRu2.

Unit cell a=3.148 b=3.148 c=7.172 alpha=90.00 beta=90.00 gamma=90.00
Space group P4/mmm (No. 123)
Inequivalent atoms, fractional coordinates:
Pu (0.000, 0.000, 0.000) (multiplicity 1)
Ta (0.000, 0.000, 0.500) (multiplicity 1)
Ru (0.500, 0.500, 0.286) (multiplicity 2)

Results
**Crystal system**: tetragonal
**Calculated volume**: 71 Å³/f.u.
**DFT formation energy**: -0.260 eV per atom